Record 1
Entry from the Alexandria database: a crystal of W3CF relaxed with PBEsol (SCAN).

Results
SG = Pm-3m
DOS(E_F) = 2.27 states/eV/f.u.
Energy relative to the elements, uncorrected = 0.90 eV/atom

abc: 4.1087 4.1087 4.1087
angles: 90.00 90.00 90.00
Fractional coordinates of all 5 atoms:
C 0.0000 0.0000 0.0000
W 0.0000 0.5000 0.0000
W 0.0000 0.0000 0.5000
W 0.5000 0.0000 0.0000
F 0.5000 0.5000 0.5000

***

Record 2
Entry from the Alexandria database: a crystal of Fe3C4 relaxed with PBEsol (SCAN).

Results
SG = Pm-3m
DOS(E_F) = 2.84 states/eV/f.u.
Energy of formation = 106.1 kJ per mole of atoms

abc: 3.8734 3.8734 3.8734
angles: 90.00 90.00 90.00
Site moments in Bohr magnetons follow the coordinates.
Fractional coordinates of all 7 atoms:
C 0.0000 0.0000 0.0000  0.09
C 0.0000 0.5000 0.5000  -0.04
C 0.5000 0.0000 0.5000  -0.04
C 0.5000 0.5000 0.0000  -0.04
Fe 0.0000 0.5000 0.0000  1.42
Fe 0.0000 0.0000 0.5000  1.42
Fe 0.5000 0.0000 0.0000  1.42

***

Record 3
Entry from the Alexandria database: a crystal of FeC2 relaxed with PBEsol (SCAN).

Results
SG = I4_1/amd
Relative energy among the computed polymorphs = 0.450 eV/atom
DOS(E_F) = 1.19 states/eV/f.u.
Energy of formation = 150.8 kJ per mole of atoms

abc: 3.2685 3.2685 4.5727
angles: 110.94 110.94 90.00
Fractional coordinates of all 6 atoms:
C 0.8432 0.3432 0.6864
C 0.4068 0.4068 0.8136
C 0.6568 0.1568 0.3136
C 0.5932 0.5932 0.1864
Fe 0.2500 0.7500 0.5000
Fe 0.0000 0.0000 0.0000

***

Record 4
Entry from the Alexandria database: a crystal of FeC relaxed with PBEsol (SCAN).

Results
SG = I4_1/amd
DOS(E_F) = 0.82 states/eV/f.u.
Energy of formation = 89.7 kJ per mole of atoms

abc: 2.7159 2.7159 4.8734
angles: 106.18 106.18 90.00
Site moments in Bohr magnetons follow the coordinates.
Fractional coordinates of all 4 atoms:
C 0.2500 0.7500 0.5000  -0.01
C 0.0000 0.0000 0.0000  -0.01
Fe 0.7500 0.2500 0.5000  1.89
Fe 0.5000 0.5000 0.0000  1.89

***

Record 5
Entry from the Alexandria database: a crystal of Fe2C relaxed with PBEsol (SCAN).

Results
SG = P-6m2
DOS(E_F) = 2.52 states/eV/f.u.
Energy of formation = 52.2 kJ per mole of atoms

abc: 2.5742 2.5742 4.7189
angles: 90.00 90.00 120.00
Site moments in Bohr magnetons follow the coordinates.
Fractional coordinates of all 3 atoms:
C 0.0000 0.0000 0.5000  -0.23
Fe 0.3333 0.6667 0.7638  2.04
Fe 0.3333 0.6667 0.2362  2.04

***

Record 6
Entry from the Alexandria database: a crystal of FeC relaxed with PBEsol (SCAN).

Results
SG = P6/mmm
DOS(E_F) = 1.01 states/eV/f.u.
Energy of formation = 97.7 kJ per mole of atoms

abc: 2.7316 4.6892 4.6892
angles: 120.00 90.00 90.00
Site moments in Bohr magnetons follow the coordinates.
Fractional coordinates of all 6 atoms:
C 0.0000 0.0000 0.0000  -0.08
C 0.5000 0.6667 0.3333  -0.05
C 0.5000 0.3333 0.6667  -0.05
Fe 0.0000 0.5000 0.5000  0.95
Fe 0.0000 0.0000 0.5000  0.95
Fe 0.0000 0.5000 0.0000  0.95

***

Record 7
Entry from the Alexandria database: a crystal of Fe2C relaxed with PBEsol (SCAN).

Results
SG = P-31m
DOS(E_F) = 2.06 states/eV/f.u.
Energy of formation = 12.2 kJ per mole of atoms

abc: 4.2494 4.7234 4.7234
angles: 120.00 90.00 90.00
Site moments in Bohr magnetons follow the coordinates.
Fractional coordinates of all 9 atoms:
C 0.0000 0.0000 0.0000  -0.14
C 0.5000 0.6667 0.3333  -0.15
C 0.5000 0.3333 0.6667  -0.15
Fe 0.2492 0.6637 0.0000  2.06
Fe 0.2492 0.3363 0.3363  2.06
Fe 0.2492 0.0000 0.6637  2.06
Fe 0.7508 0.0000 0.3363  2.06
Fe 0.7508 0.6637 0.6637  2.06
Fe 0.7508 0.3363 0.0000  2.06

***

Record 8
Entry from the Alexandria database: a crystal of FeC3 relaxed with PBEsol (SCAN).

Results
SG = P4/mmm
Relative energy among the computed polymorphs = 2.267 eV/atom
DOS(E_F) = 2.24 states/eV/f.u.
Energy of formation = 285.6 kJ per mole of atoms

abc: 2.5103 3.3647 3.3647
angles: 90.00 90.00 90.00
Fractional coordinates of all 4 atoms:
C 0.0000 0.0000 0.5000
C 0.5000 0.5000 0.5000
C 0.0000 0.5000 0.0000
Fe 0.5000 0.0000 0.0000

***

Record 9
Entry from the Alexandria database: a crystal of FeC2 relaxed with PBEsol (SCAN).

Results
SG = I4/mmm
Relative energy among the computed polymorphs = 0.000 eV/atom
DOS(E_F) = 0.41 states/eV/f.u.
Energy of formation = 107.4 kJ per mole of atoms

abc: 3.0224 3.3608 3.0224
angles: 63.28 90.00 116.72
Fractional coordinates of all 3 atoms:
C 0.6280 0.2559 0.3720
C 0.3720 0.7441 0.6280
Fe 0.0000 0.0000 0.0000

***

Record 10
Entry from the Alexandria database: a crystal of Fe2C relaxed with PBEsol (SCAN).

Results
SG = Cmcm
DOS(E_F) = 1.78 states/eV/f.u.
Energy of formation = 52.0 kJ per mole of atoms

abc: 2.6993 4.1777 4.9326
angles: 90.00 105.88 90.00
Site moments in Bohr magnetons follow the coordinates.
Fractional coordinates of all 6 atoms:
C 0.0848 0.2500 0.1696  -0.14
C 0.9152 0.7500 0.8304  -0.14
Fe 0.4470 0.2500 0.8940  1.87
Fe 0.5530 0.7500 0.1060  1.87
Fe 0.7158 0.2500 0.4316  1.85
Fe 0.2842 0.7500 0.5684  1.85

***

Record 11
Entry from the Alexandria database: a crystal of FeC3 relaxed with PBEsol (SCAN).

Results
SG = C2/m
Relative energy among the computed polymorphs = 0.328 eV/atom
DOS(E_F) = 0.96 states/eV/f.u.
Energy of formation = 98.5 kJ per mole of atoms

abc: 2.5632 3.5911 3.8867
angles: 118.27 109.25 90.00
Site moments in Bohr magnetons follow the coordinates.
Fractional coordinates of all 4 atoms:
C 0.5000 0.5000 0.0000  -0.10
C 0.6954 0.5050 0.3907  0.00
C 0.3046 0.4950 0.6093  0.00
Fe 0.0000 0.0000 0.0000  1.87

***

Record 12
Entry from the Alexandria database: a crystal of FeC3 relaxed with PBEsol (SCAN).

Results
SG = Cmcm
Relative energy among the computed polymorphs = 0.000 eV/atom
DOS(E_F) = 1.47 states/eV/f.u.
Energy of formation = 66.8 kJ per mole of atoms

abc: 2.5283 4.1818 6.4149
angles: 109.02 90.00 90.00
Site moments in Bohr magnetons follow the coordinates.
Fractional coordinates of all 8 atoms:
C 0.2500 0.9759 0.9517  0.00
C 0.7500 0.0241 0.0483  0.00
C 0.2500 0.4278 0.5190  -0.03
C 0.7500 0.5722 0.4810  -0.03
C 0.2500 0.0912 0.5190  -0.03
C 0.7500 0.9088 0.4810  -0.03
Fe 0.7500 0.5790 0.1579  2.29
Fe 0.2500 0.4210 0.8421  2.29

***

- Which value of DOS(E_F) does entry 11 give?
  0.96 states/eV/f.u.

***

- Which of these has the lowest DOS(E_F)?
  number 9

***

- Look up the DOS(E_F) of the third one.
  1.19 states/eV/f.u.